The following is a DFT calculation (PBE-GGA) of a relaxed PmErRh crystal.

**Formation energy from the elements**: -0.49 eV/atom
**Magnetization**: 0.00 μB/f.u.
**Space group**: No. 156
**DOS at the Fermi energy**: 0.88 states/eV/atom
**E above lowest polymorph**: 30 kJ/mol of formula units

Unit cell a=4.0483 b=4.0483 c=6.2176 alpha=90.00 beta=90.00 gamma=120.00
Closest atoms and distances in Å follow each position.
Element x y z (fractional)
Pm 0.0000 0.0000 0.0000  3 Rh 2.81
Er 0.3333 0.6667 0.4787  3 Rh 2.73
Rh 0.6667 0.3333 0.2515  3 Er 2.73, 3 Pm 2.81